HoBeIrN: relaxed, GGA-PBE.

Output
* calculated density: 11.6 g cm⁻³
* energy relative to the elements, uncorrected: -4.190 eV per formula unit

```
HoBeIrN
1.0
-0.534 1.172 -3.443
1.495 -3.102 -1.288
-7.280 -3.485 -0.057
Ho Be N Ir
2 2 2 2
direct
0.000 0.500 0.846 Ho
0.500 0.000 0.154 Ho
0.000 0.500 0.323 Be
0.500 0.000 0.677 Be
0.500 0.000 0.874 N
0.000 0.500 0.126 N
0.500 0.500 0.500 Ir
0.000 0.000 0.500 Ir
```